[1]
Computed, not measured: a relaxed La2Ga5Ru3 crystal at the PBE level of DFT.

Cell: 5.872 8.739 8.739 Å, 70.11 70.37 70.37°
Site moments in Bohr magnetons follow the coordinates.
Fractional coordinates of all 20 atoms:
1 La 0.142 0.583 0.133  0.00
2 Ga 0.415 0.264 0.905  -0.01
3 La 0.358 0.867 0.417  0.00
4 Ru 0.750 0.000 0.000  0.31
5 Ga 0.451 0.799 0.799  0.00
6 Ga 0.085 0.095 0.736  -0.01
7 Ga 0.951 0.799 0.799  0.00
8 Ru 0.250 0.000 0.000  0.31
9 La 0.642 0.133 0.583  0.00
10 Ga 0.585 0.736 0.095  -0.01
11 La 0.858 0.417 0.867  0.00
12 Ru 0.651 0.431 0.268  0.00
13 Ga 0.549 0.201 0.201  0.00
14 Ga 0.049 0.201 0.201  0.00
15 Ga 0.915 0.905 0.264  -0.01
16 Ga 0.250 0.500 0.500  0.00
17 Ga 0.750 0.500 0.500  0.00
18 Ru 0.849 0.732 0.569  0.00
19 Ru 0.349 0.569 0.732  0.00
20 Ru 0.151 0.268 0.431  0.00

Results
Mass density (Mg/m³): 8.0
SG: Ibam
Total DFT energy (no corrections) (eV per atom): -5.80
E_form (eV per atom): -0.52
Fermi-level density of states (states/eV/atom): 0.74

[2]
Computed, not measured: a relaxed Li2PrTe2 crystal at the PBE level of DFT.

Cell: 4.479 4.479 8.743 Å, 75.16 75.16 60.00°
Fractional coordinates of all 5 atoms:
1 Li 0.226 0.226 0.323
2 Pr 0.000 0.000 0.000
3 Te 0.587 0.587 0.239
4 Li 0.774 0.774 0.677
5 Te 0.413 0.413 0.761

Results
Mass density (Mg/m³): 4.7
ΔE_f (raw) (eV per atom): -1.07
SG: R-3m
Total DFT energy (no corrections) (eV per atom): -4.05
Fermi-level density of states (states/eV/atom): 0.42

[3]
Computed, not measured: a relaxed Cs3CdGa crystal at the PBE level of DFT.

Cell: 4.739 11.243 11.512 Å, 93.70 89.98 102.18°
Fractional coordinates of all 10 atoms:
1 Ga 0.792 0.617 0.736
2 Cs 0.772 0.576 0.401
3 Cs 0.623 0.283 0.778
4 Cd 0.424 0.882 0.287
5 Ga 0.252 0.537 0.686
6 Cs 0.971 0.976 0.028
7 Cs 0.073 0.178 0.394
8 Cs 0.421 0.871 0.644
9 Cs 0.272 0.578 0.020
10 Cd 0.620 0.272 0.134

Results
Relative energy among the computed polymorphs (kJ/mol of atoms): 0.00
Mass density (Mg/m³): 3.2
SG: P-1
Total DFT energy (no corrections) (eV per atom): -1.28
E_form (eV per atom): 0.02
Fermi-level density of states (states/eV/atom): 0.78

[4]
Computed, not measured: a relaxed AsRhSe2Br crystal at the PBE level of DFT.

Cell: 4.896 4.896 4.913 Å, 90.00 90.00 90.00°
Fractional coordinates of all 5 atoms:
1 Rh 0.000 0.000 0.000
2 Se 0.000 0.500 0.000
3 Br 0.000 0.000 0.500
4 As 0.500 0.500 0.500
5 Se 0.500 0.000 0.000

Results
Relative energy among the computed polymorphs (kJ/mol of atoms): 3.84
Mass density (Mg/m³): 5.9
ΔE_f (raw) (eV per atom): 0.46
SG: P4/mmm
Total DFT energy (no corrections) (eV per atom): -3.67
Fermi-level density of states (states/eV/atom): 0.83

[5]
Computed, not measured: a relaxed CsRbVCl6 crystal at the PBE level of DFT.

Cell: 7.676 7.677 6.771 Å, 89.99 90.01 60.04°
Site moments in Bohr magnetons follow the coordinates.
Fractional coordinates of all 9 atoms:
1 Cl 0.582 0.088 0.299  -0.02
2 Cl 0.332 0.087 0.701  -0.02
3 V 0.333 0.333 0.500  1.03
4 Cl 0.087 0.330 0.299  -0.02
5 Cl 0.581 0.332 0.701  -0.02
6 Cl 0.330 0.582 0.300  -0.02
7 Rb 0.667 0.667 0.499  0.00
8 Cs 0.000 0.000 0.999  0.00
9 Cl 0.087 0.581 0.701  -0.02

Results
Mass density (Mg/m³): 2.3
ΔE_f (raw) (eV per atom): -1.51
SG: P3
Total DFT energy (no corrections) (eV per atom): -3.95
Fermi-level density of states (states/eV/atom): 0.88

[6]
Computed, not measured: a relaxed SrPr2Pd3 crystal at the PBE level of DFT.

Cell: 3.661 3.661 11.226 Å, 90.00 90.00 90.00°
Fractional coordinates of all 6 atoms:
1 Pr 0.500 0.500 0.165
2 Pd 0.000 0.000 0.310
3 Sr 0.500 0.500 0.500
4 Pd 0.000 0.000 0.690
5 Pr 0.500 0.500 0.835
6 Pd 0.000 0.000 0.000

Results
Mass density (Mg/m³): 7.6
SG: P4/mmm
Total DFT energy (no corrections) (eV per atom): -5.16
E_form (eV per atom): -0.69
Fermi-level density of states (states/eV/atom): 0.48

| no. | magnetization (μB/atom) |
| --- | --- |
| 1 | 0.031 |
| 2 | 0.000 |
| 3 | 0.000 |
| 4 | 0.000 |
| 5 | 0.111 |
| 6 | 0.000 |